## DyHoC2 (PBE-GGA)

Data for a relaxed DyHoC2 crystal.

Values from the calculation:
size of the total moment = 0.001 μB per formula unit
electronic total energy = -6.91 eV per atom
ρ = 8.05 g/cm3

a b c (Å): 3.8668 5.5980 6.6998
angles (deg): 90.00 90.00 90.00
Space group Amm2 (No. 38)
Symmetry-distinct sites (fractional):
1 Dy 0.0000 0.0000 0.0000
2 Ho 0.5000 0.0000 0.4372
3 C 0.5000 0.1241 0.7855